<1>
Density functional theory data (PBE) for a relaxed structure of PrAlAu3.

Results
The calculation puts the magnetic moment at 0.0 μB/f.u. Its symmetry is C2/m, No. 12.

Geometry as extended XYZ:
```
10
Lattice="9.169 -2.188 0.000 9.169 2.188 0.000 -1.520 0.000 5.232" Properties=species:S:1:pos:R:3 pbc="T T T"
Pr 0.919 0.000 1.658
Pr 15.898 0.000 3.574
Al 4.270 0.000 4.544
Al 12.547 0.000 0.688
Au 1.602 0.000 4.634
Au 4.691 0.000 2.047
Au 7.933 0.000 1.203
Au 8.884 0.000 4.029
Au 12.126 0.000 3.185
Au 15.216 0.000 0.598
```

<2>
Density functional theory data (PBE) for a relaxed structure of PrAlAu3.

Results
The calculation puts the magnetic moment at 0.0 μB/f.u. Its symmetry is P4/mbm, No. 127.

Geometry as extended XYZ:
```
10
Lattice="6.665 0.000 0.000 0.000 6.665 0.000 0.000 0.000 5.252" Properties=species:S:1:pos:R:3 pbc="T T T"
Pr 0.000 3.333 0.000
Pr 3.333 0.000 0.000
Al 0.000 0.000 2.626
Al 3.333 3.333 2.626
Au 0.000 0.000 0.000
Au 1.065 2.268 2.626
Au 2.268 5.600 2.626
Au 3.333 3.333 0.000
Au 4.397 1.065 2.626
Au 5.600 4.397 2.626
```

<1> is favored, and the nearest alternative lies 162 meV/atom above it.

<1>
Density functional theory data (PBE) for a relaxed structure of PrAl2Au6.

Results
The calculation puts the magnetic moment at 0.0 μB/f.u. Its symmetry is Fd-3m, No. 227.

Geometry as extended XYZ:
```
18
Lattice="0.000 5.928 5.928 5.928 0.000 5.928 5.928 5.928 0.000" Properties=species:S:1:pos:R:3 pbc="T T T"
Pr 1.482 1.482 1.482
Pr 10.374 10.374 10.374
Al 5.928 2.964 2.964
Al 2.964 5.928 2.964
Al 2.964 2.964 5.928
Al 5.928 5.928 5.928
Au 4.446 4.446 1.548
Au 4.446 1.548 4.446
Au 7.344 4.446 4.446
Au 7.410 7.410 4.512
Au 7.410 4.512 7.410
Au 10.308 7.410 7.410
Au 1.548 4.446 4.446
Au 4.446 7.344 4.446
Au 4.446 4.446 7.344
Au 4.512 7.410 7.410
Au 7.410 10.308 7.410
Au 7.410 7.410 10.308
```

<2>
Density functional theory data (PBE) for a relaxed structure of PrAl2Au6.

Results
The calculation puts the magnetic moment at 0.0 μB/f.u. Its symmetry is C2/m, No. 12.

Geometry as extended XYZ:
```
9
Lattice="5.798 -3.725 0.000 5.798 3.725 0.000 -0.966 0.000 4.446" Properties=species:S:1:pos:R:3 pbc="T T T"
Pr 0.000 0.000 0.000
Al 3.291 0.000 1.273
Al 7.339 0.000 3.173
Au 2.875 1.434 3.532
Au 5.315 1.514 2.223
Au 7.756 1.434 0.914
Au 2.875 -1.434 3.532
Au 5.315 -1.514 2.223
Au 7.756 -1.434 0.914
```

<2> is favored, and the nearest alternative lies 176 meV/atom above it.

<1>
Density functional theory data (PBE) for a relaxed structure of Pr2AlAu3.

Results
The calculation puts the magnetic moment at 0.0 μB/f.u. Its symmetry is Imm2, No. 44.

Geometry as extended XYZ:
```
6
Lattice="-2.057 2.128 8.474 2.057 -2.128 8.474 2.057 2.128 -8.474" Properties=species:S:1:pos:R:3 pbc="T T T"
Pr 0.000 0.000 0.000
Pr 0.000 2.128 4.302
Al 0.000 0.000 9.983
Au 2.057 0.000 2.797
Au 2.057 0.000 5.575
Au 0.000 0.000 7.414
```

<2>
Density functional theory data (PBE) for a relaxed structure of Pr2AlAu3.

Results
The calculation puts the magnetic moment at 0.0 μB/f.u. Its symmetry is Pmm2, No. 25.

Geometry as extended XYZ:
```
6
Lattice="3.731 0.000 0.000 0.000 4.649 0.000 0.000 0.000 8.211" Properties=species:S:1:pos:R:3 pbc="T T T"
Pr 0.000 0.000 0.000
Pr 0.000 2.325 3.909
Al 1.865 2.325 6.673
Au 1.865 0.000 2.707
Au 1.865 0.000 5.534
Au 1.865 2.325 1.076
```

<2> is favored, and the nearest alternative lies 63 meV/atom above it.

<1>
Density functional theory data (PBE) for a relaxed structure of Pr3Al8Au3.

Results
The calculation puts the magnetic moment at 0.0 μB/f.u. Its symmetry is C2/m, No. 12.

Geometry as extended XYZ:
```
14
Lattice="8.138 -2.243 0.000 8.138 2.243 0.000 -5.855 0.000 7.862" Properties=species:S:1:pos:R:3 pbc="T T T"
Pr 0.000 0.000 0.000
Pr 3.139 0.000 2.393
Pr 7.283 0.000 5.470
Al -2.799 0.000 6.739
Al -0.146 0.000 3.314
Al -0.135 0.000 7.592
Al 6.351 0.000 2.357
Al 4.070 0.000 5.505
Al 10.556 0.000 0.271
Al 10.568 0.000 4.548
Al 13.220 0.000 1.124
Au -2.928 0.000 3.931
Au 1.490 0.000 5.522
Au 8.931 0.000 2.340
```

<2>
Density functional theory data (PBE) for a relaxed structure of Pr3Al8Au3.

Results
The calculation puts the magnetic moment at 0.0 μB/f.u. Its symmetry is Immm, No. 71.

Geometry as extended XYZ:
```
14
Lattice="-2.230 5.054 6.414 2.230 -5.054 6.414 2.230 5.054 -6.414" Properties=species:S:1:pos:R:3 pbc="T T T"
Pr 0.000 0.000 0.000
Pr 0.000 0.000 3.980
Pr 0.000 0.000 8.847
Al 2.230 -1.336 2.139
Al 2.230 -2.203 4.785
Al 2.230 1.336 2.139
Al 0.000 2.851 1.629
Al 2.230 2.203 4.785
Al 0.000 3.717 4.275
Al 0.000 7.257 1.629
Al 0.000 6.390 4.275
Au 2.230 2.766 0.000
Au 0.000 5.054 0.000
Au 0.000 2.288 6.414
```

<1> is favored, and the nearest alternative lies 20 meV/atom above it.

<1>
Density functional theory data (PBE) for a relaxed structure of Pr3Al2Au3.

Results
The calculation puts the magnetic moment at 0.0 μB/f.u. Its symmetry is Pnma, No. 62.

Geometry as extended XYZ:
```
32
Lattice="8.491 0.000 0.000 0.000 15.428 0.000 0.000 0.000 5.942" Properties=species:S:1:pos:R:3 pbc="T T T"
Pr 0.446 1.649 0.768
Pr 0.446 6.065 0.768
Pr 1.684 3.857 3.604
Pr 2.561 11.571 0.633
Pr 3.799 9.363 3.739
Pr 3.799 13.779 3.739
Pr 4.692 1.649 2.203
Pr 4.692 6.065 2.203
Pr 5.929 3.857 5.310
Pr 6.807 11.571 2.339
Pr 8.045 9.363 5.174
Pr 8.045 13.779 5.174
Al 0.810 9.228 2.268
Al 0.810 13.914 2.268
Al 3.435 1.514 5.239
Al 3.435 6.200 5.239
Al 5.056 9.228 0.703
Al 5.056 13.914 0.703
Al 7.681 1.514 3.674
Al 7.681 6.200 3.674
Au 1.348 11.571 3.550
Au 1.651 0.657 3.653
Au 1.651 7.058 3.653
Au 2.595 8.371 0.682
Au 2.595 14.772 0.682
Au 2.898 3.857 0.579
Au 5.593 11.571 5.363
Au 5.896 0.657 5.260
Au 5.896 7.058 5.260
Au 6.840 8.371 2.289
Au 6.840 14.772 2.289
Au 7.143 3.857 2.392
```

<2>
Density functional theory data (PBE) for a relaxed structure of Pr3Al2Au3.

Results
The calculation puts the magnetic moment at 0.0 μB/f.u. Its symmetry is Cmcm, No. 63.

Geometry as extended XYZ:
```
16
Lattice="2.282 -5.554 0.000 2.282 5.554 0.000 0.000 0.000 15.182" Properties=species:S:1:pos:R:3 pbc="T T T"
Pr 2.282 4.601 9.201
Pr 2.282 4.601 13.572
Pr 2.282 1.233 11.387
Pr 2.282 -1.233 3.796
Pr 2.282 -4.601 1.610
Pr 2.282 -4.601 5.981
Al 2.282 3.230 1.440
Al 2.282 3.230 6.152
Al 2.282 -3.230 9.031
Al 2.282 -3.230 13.743
Au 2.282 1.968 3.796
Au 2.282 1.321 8.261
Au 2.282 1.321 14.512
Au 2.282 -1.321 0.670
Au 2.282 -1.321 6.921
Au 2.282 -1.968 11.387
```

<2> is favored, and the nearest alternative lies 20 meV/atom above it.

<1>
Density functional theory data (PBE) for a relaxed structure of AlPtAu.

Results
The calculation puts the magnetic moment at 0.0 μB/f.u. Its symmetry is F-43m, No. 216.

Geometry as extended XYZ:
```
3
Lattice="0.000 2.973 2.973 2.973 0.000 2.973 2.973 2.973 0.000" Properties=species:S:1:pos:R:3 pbc="T T T"
Al 0.000 0.000 0.000
Pt 4.460 4.460 4.460
Au 1.487 1.487 1.487
```

<2>
Density functional theory data (PBE) for a relaxed structure of AlPtAu.

Results
The calculation puts the magnetic moment at 0.0 μB/f.u. Its symmetry is P3m1, No. 156.

Geometry as extended XYZ:
```
3
Lattice="4.215 0.000 0.000 -2.107 3.650 0.000 0.000 0.000 3.228" Properties=species:S:1:pos:R:3 pbc="T T T"
Al 0.000 0.000 0.000
Pt 0.000 2.433 2.758
Au 2.107 1.217 1.196
```

<1> is favored, and the nearest alternative lies 44 meV/atom above it.

<1>
Density functional theory data (PBE) for a relaxed structure of PuAl4Au2.

Results
The calculation puts the magnetic moment at 5.4 μB/f.u. Its symmetry is Pnma, No. 62.

Geometry as extended XYZ:
```
28
Lattice="17.376 0.000 0.000 0.000 4.378 0.000 0.000 0.000 6.854" Properties=species:S:1:pos:R:3 pbc="T T T"
Pu 2.422 1.095 0.067
Pu 6.266 3.284 3.494
Pu 11.110 1.095 3.359
Pu 14.954 3.284 6.786
Al 0.627 3.284 5.816
Al 1.180 1.095 3.278
Al 3.221 3.284 2.200
Al 3.282 3.284 4.989
Al 5.406 1.095 1.562
Al 5.467 1.095 5.627
Al 7.508 3.284 6.705
Al 8.061 1.095 2.390
Al 9.315 3.284 4.464
Al 9.868 1.095 0.149
Al 11.909 3.284 1.227
Al 11.970 3.284 5.292
Al 14.094 1.095 1.865
Al 14.155 1.095 4.653
Al 16.196 3.284 3.576
Al 16.749 1.095 1.037
Au 0.633 3.284 1.713
Au 3.748 1.095 3.614
Au 4.940 3.284 0.187
Au 8.055 1.095 5.140
Au 9.321 3.284 1.714
Au 12.436 1.095 6.667
Au 13.628 3.284 3.240
Au 16.743 1.095 5.140
```

<2>
Density functional theory data (PBE) for a relaxed structure of PuAl4Au2.

Results
The calculation puts the magnetic moment at 5.9 μB/f.u. Its symmetry is P4_2/mnm, No. 136.

Geometry as extended XYZ:
```
14
Lattice="8.087 0.000 0.000 0.000 8.087 0.000 0.000 0.000 4.094" Properties=species:S:1:pos:R:3 pbc="T T T"
Pu 0.000 0.000 0.000
Pu 4.043 4.043 2.047
Al 0.662 2.742 2.047
Al 1.302 4.705 0.000
Al 2.742 0.662 2.047
Al 3.382 6.785 0.000
Al 4.705 1.302 0.000
Al 5.345 7.425 2.047
Al 6.785 3.382 0.000
Al 7.425 5.345 2.047
Au 1.726 6.361 2.047
Au 2.317 2.317 0.000
Au 5.769 5.769 0.000
Au 6.361 1.726 2.047
```

<1> is favored, and the nearest alternative lies 94 meV/atom above it.

<1>
Density functional theory data (PBE) for a relaxed structure of PuAl3Au3.

Results
The calculation puts the magnetic moment at 6.2 μB/f.u. Its symmetry is Pm-3n, No. 223.

Geometry as extended XYZ:
```
14
Lattice="6.964 0.000 0.000 0.000 6.964 0.000 0.000 0.000 6.964" Properties=species:S:1:pos:R:3 pbc="T T T"
Pu 0.000 0.000 0.000
Pu 3.482 3.482 3.482
Al 0.000 1.741 3.482
Al 0.000 5.223 3.482
Al 1.741 3.482 0.000
Al 3.482 0.000 1.741
Al 3.482 0.000 5.223
Al 5.223 3.482 0.000
Au 0.000 3.482 1.741
Au 0.000 3.482 5.223
Au 1.741 0.000 3.482
Au 3.482 1.741 0.000
Au 3.482 5.223 0.000
Au 5.223 0.000 3.482
```

<2>
Density functional theory data (PBE) for a relaxed structure of PuAl3Au3.

Results
The calculation puts the magnetic moment at 5.7 μB/f.u. Its symmetry is P2_1/m, No. 11.

Geometry as extended XYZ:
```
14
Lattice="7.121 0.000 0.000 0.000 4.635 0.000 -3.015 0.000 8.042" Properties=species:S:1:pos:R:3 pbc="T T T"
Pu -0.537 1.159 3.089
Pu 4.642 3.477 4.952
Al 1.637 1.159 0.860
Al -0.275 3.477 7.589
Al 2.055 3.477 2.849
Al 2.050 1.159 5.193
Al 4.380 1.159 0.453
Al 2.468 3.477 7.182
Au 0.407 3.477 0.883
Au -0.545 1.159 6.327
Au 0.762 3.477 5.064
Au 3.344 1.159 2.978
Au 4.650 3.477 1.715
Au 3.698 1.159 7.159
```

<2> is favored, and the nearest alternative lies 302 meV/atom above it.